RbMgGa2Ru, relaxed, DFT PBE; space group = P4/mmm (123); DOS at the Fermi energy = 1.9 states/eV/cell; final energy = -3.732 eV per atom
1.0
4.910 0.000 0.000
0.000 4.910 0.000
0.000 0.000 5.166
Rb Mg Ga Ru
1 1 2 1
direct
0.000 0.000 0.000 Rb
0.500 0.500 0.000 Mg
0.000 0.500 0.500 Ga
0.500 0.000 0.500 Ga
0.500 0.500 0.500 Ru